Ti2MnCoSe | PBE | optimized geometry

Properties
DFT total energy, eV for the cell shown: -32.633
Raw formation energy, kJ/mol of atoms: 56
SG: P4/mmm, No. 123

extended XYZ file:
```
5
Lattice="-0.3194 -0.4222 4.4597 4.1864 -1.0981 0.1959 1.1113 4.3238 0.4889" Properties=species:S:1:pos:R:3 pbc="T T T"
Ti 0.5556 2.1619 0.2444
Co 2.4891 1.4018 2.5723
Ti -0.1597 -0.2111 2.2299
Se 2.0932 -0.5490 0.0980
Mn 0.0000 0.0000 0.0000
```